1.
First-principles (PBE-GGA) data for an optimized crystal structure of SrOs3C, as listed in the Alexandria database.

## Properties
* DOS(E_F): 1.330 states/eV per atom
* calculated formation energy: 0.780 eV/atom
* uncorrected energy: -8.14 eV per atom
* magnetization: 0.3 μB/cell

Cell lengths 4.248, 4.248, 4.248 Å; angles 90.00, 90.00, 90.00 degrees
Last column: magnetic moment on the atom in μB.
Element x y z (fractional)
Os  0.000  0.500  0.000  0.12
Os  0.000  0.000  0.500  0.05
Os  0.500  0.000  0.000  0.10
Sr  0.500  0.500  0.500  0.00
C  0.000  0.000  0.000  0.00

=====

2.
First-principles (PBE-GGA) data for an optimized crystal structure of Pm2S2Br, as listed in the Alexandria database.

## Properties
* DOS(E_F): 0.373 states/eV per atom
* uncorrected energy: -5.84 eV per atom
* uncorrected formation energy: -1.958 eV/atom
* magnetization: 0.0 μB/cell

Cell lengths 5.610, 7.061, 8.422 Å; angles 106.58, 90.00, 113.41 degrees
Element x y z (fractional)
Pm  0.163  0.325  0.569
Pm  0.837  0.675  0.431
Pm  0.508  0.015  0.740
Pm  0.492  0.985  0.260
S  0.338  0.677  0.430
S  0.004  0.008  0.734
S  0.662  0.323  0.570
S  0.996  0.992  0.266
Br  0.336  0.672  0.912
Br  0.664  0.328  0.088

=====

3.
First-principles (PBE-GGA) data for an optimized crystal structure of La2Tm4N, as listed in the Alexandria database.

## Properties
* DOS(E_F): 1.385 states/eV per atom
* uncorrected energy: -5.46 eV per atom
* uncorrected formation energy: -0.304 eV/atom
* magnetization: 0.0 μB/cell

Cell lengths 4.741, 4.741, 9.696 Å; angles 75.85, 75.85, 90.00 degrees
Element x y z (fractional)
Tm  0.873  0.873  0.254
Tm  0.127  0.127  0.746
Tm  0.000  0.500  0.000
Tm  0.500  0.000  0.000
La  0.676  0.676  0.647
La  0.324  0.324  0.353
N  0.000  0.000  0.000

=====

4.
First-principles (PBE-GGA) data for an optimized crystal structure of KPaRuN4, as listed in the Alexandria database.

## Properties
* DOS(E_F): 0.148 states/eV per atom
* uncorrected energy: -7.94 eV per atom
* uncorrected formation energy: -0.349 eV/atom
* magnetization: 0.0 μB/cell

Cell lengths 6.012, 5.661, 7.659 Å; angles 90.00, 107.10, 90.00 degrees
Element x y z (fractional)
Pa  0.209  0.250  0.538
Pa  0.791  0.750  0.462
N  0.014  0.513  0.326
N  0.438  0.750  0.198
N  0.986  0.013  0.674
N  0.986  0.487  0.674
N  0.537  0.250  0.439
N  0.562  0.250  0.802
N  0.463  0.750  0.561
N  0.014  0.987  0.326
Ru  0.248  0.750  0.337
Ru  0.752  0.250  0.663
K  0.292  0.250  0.060
K  0.708  0.750  0.940

=====

5.
First-principles (PBE-GGA) data for an optimized crystal structure of GeOs3Pt, as listed in the Alexandria database.

## Properties
* DOS(E_F): 0.981 states/eV per atom
* calculated formation energy: 1.843 eV/atom
* uncorrected energy: -7.03 eV per atom
* magnetization: 0.0 μB/cell

Cell lengths 4.471, 4.471, 4.471 Å; angles 90.00, 90.00, 90.00 degrees
Element x y z (fractional)
Os  0.000  0.500  0.000
Os  0.500  0.000  0.000
Os  0.000  0.000  0.500
Pt  0.500  0.500  0.500
Ge  0.000  0.000  0.000

=====

6.
First-principles (PBE-GGA) data for an optimized crystal structure of HfMgBe2N, as listed in the Alexandria database.

## Properties
* DOS(E_F): 0.482 states/eV per atom
* uncorrected energy: -3.44 eV per atom
* uncorrected formation energy: 2.026 eV/atom
* magnetization: 0.7 μB/cell

Cell lengths 4.015, 5.363, 4.015 Å; angles 90.00, 90.00, 90.00 degrees
Last column: magnetic moment on the atom in μB.
Element x y z (fractional)
Be  0.000  0.000  0.500  0.02
Be  0.500  0.000  0.000  0.01
Mg  0.000  0.000  0.000  0.02
Hf  0.000  0.500  0.000  -0.05
N  0.500  0.500  0.500  0.48

=====

7.
First-principles (PBE-GGA) data for an optimized crystal structure of Ho3Th13, as listed in the Alexandria database.

## Properties
* DOS(E_F): 1.335 states/eV per atom
* calculated formation energy: 0.053 eV/atom
* uncorrected energy: -6.83 eV per atom
* magnetization: 0.0 μB/cell

Cell lengths 7.111, 8.529, 8.529 Å; angles 92.39, 90.00, 90.00 degrees
Element x y z (fractional)
Th  0.252  0.544  0.456
Th  0.500  0.710  0.796
Th  0.500  0.204  0.290
Th  0.500  0.298  0.702
Th  0.750  0.455  0.042
Th  0.748  0.544  0.456
Th  0.250  0.958  0.545
Th  0.750  0.958  0.545
Th  0.000  0.708  0.793
Th  0.250  0.455  0.042
Th  0.000  0.790  0.210
Th  0.500  0.788  0.212
Th  0.000  0.207  0.292
Ho  0.249  0.043  0.957
Ho  0.751  0.043  0.957
Ho  0.000  0.294  0.706

=====

> The highest DOS(E_F) belongs to which entry?

La2Tm4N